Compound: Li2ReOs
Source: Alexandria
Functional: PBE-GGA
Structure: relaxed

POSCAR file:
```
Li2ReOs
1.0
-1.6120 -0.0791 2.5044
0.7933 -2.8408 0.4209
5.3873 2.0277 3.5316
Li Re Os
2 1 1
Direct
0.5000 0.5000 0.2549
0.0000 0.0000 0.0035
0.5000 0.5000 0.7246
0.0000 0.0000 0.5170
```

energy relative to the lowest polymorph listed for this composition	141	meV per atom
DFT formation energy	24.6	kJ/mol of atoms
size of the total moment	0.000	μB/cell

Compound: LaPO2F
Source: Alexandria
Functional: PBE-GGA
Structure: relaxed

POSCAR file:
```
LaPO2F
1.0
-1.6688 -0.2438 -3.5333
0.1607 -3.9071 0.1937
-4.0152 -0.0709 1.9013
P F O La
1 1 2 1
Direct
0.0000 0.0000 0.0000
0.0000 0.0000 0.5000
0.5000 0.0000 0.0000
0.0000 0.5000 0.0000
0.5000 0.5000 0.5000
```

raw formation energy	-1.767	eV per atom
size of the total moment	0.000	μB/cell

Compound: PmPaNi2P2
Source: Alexandria
Functional: PBE-GGA
Structure: relaxed

POSCAR file:
```
PmPaNi2P2
1.0
3.9170 0.0000 0.0000
-1.9585 3.3922 0.0000
0.0000 0.0000 7.8955
P Pa Ni Pm
2 1 2 1
Direct
0.6667 0.3333 0.7496
0.3333 0.6667 0.2504
0.0000 0.0000 0.5000
0.3333 0.6667 0.7199
0.6667 0.3333 0.2801
0.0000 0.0000 0.0000
```

DFT formation energy	-111.8	kJ/mol of atoms
size of the total moment	0.000	μB/cell

Compound: ZnBiTeO6
Source: Alexandria
Functional: PBE-GGA
Structure: relaxed

POSCAR file:
```
ZnBiTeO6
1.0
-0.6133 -0.9420 -5.1905
-3.8307 -1.3622 3.4168
-4.0547 8.6614 -1.0927
O Te Bi Zn
12 2 2 2
Direct
0.9816 0.6317 0.8630
0.6501 0.6317 0.6370
0.3499 0.3683 0.3630
0.0184 0.6501 0.3630
0.3683 0.3499 0.8630
0.6317 0.6501 0.1370
0.6317 0.9816 0.3630
0.3683 0.0184 0.6370
0.3499 0.9816 0.1370
0.0184 0.3683 0.1370
0.6501 0.0184 0.8630
0.9816 0.3499 0.6370
0.6667 0.3333 0.7500
0.3333 0.6667 0.2500
0.0000 0.0000 0.0000
0.0000 0.0000 0.5000
0.3333 0.6667 0.7500
0.6667 0.3333 0.2500
```

raw formation energy	-1.079	eV per atom
size of the total moment	0.000	μB/cell

Compound: CePuTiN3
Source: Alexandria
Functional: PBE-GGA
Structure: relaxed

POSCAR file:
```
CePuTiN3
1.0
3.4782 0.0000 0.0000
0.0000 7.1540 0.9650
0.0000 -1.7431 7.4428
Ti Pu N Ce
2 2 6 2
Direct
0.7500 0.8866 0.4070
0.2500 0.1134 0.5930
0.7500 0.3754 0.8290
0.2500 0.6246 0.1710
0.2500 0.1159 0.8518
0.2500 0.6010 0.8784
0.7500 0.3990 0.1216
0.2500 0.8334 0.5175
0.7500 0.1666 0.4825
0.7500 0.8841 0.1482
0.7500 0.8397 0.8316
0.2500 0.1603 0.1684
```

raw formation energy	-1.198	eV per atom
size of the total moment	11.770	μB/cell

Compound: Na2LiPt3
Source: Alexandria
Functional: PBE-GGA
Structure: relaxed

POSCAR file:
```
Na2LiPt3
1.0
4.7269 -0.1340 -2.4885
-2.9999 4.4161 -0.2306
-0.2311 0.1064 5.3006
Pt Na Li
3 2 1
Direct
0.0000 0.0000 0.5000
0.5000 0.5000 0.5000
0.5000 0.0000 0.5000
0.7554 0.3778 0.1332
0.2446 0.6222 0.8668
0.0000 0.0000 0.0000
```

DFT formation energy	-40.7	kJ/mol of atoms
size of the total moment	0.000	μB/cell

Compound: CeZrNi10
Source: Alexandria
Functional: PBE-GGA
Structure: relaxed

POSCAR file:
```
CeZrNi10
1.0
3.9753 0.0000 0.0000
0.0000 4.8146 0.0000
0.0000 0.0000 8.3494
Ce Ni Zr
1 10 1
Direct
0.0000 0.0000 0.0000
0.0000 0.0000 0.3373
0.5000 0.2544 0.2570
0.0000 0.5000 0.1719
0.0000 0.0000 0.6627
0.5000 0.7456 0.7430
0.5000 0.5000 0.0000
0.5000 0.0000 0.5000
0.0000 0.5000 0.8281
0.5000 0.2544 0.7430
0.5000 0.7456 0.2570
0.0000 0.5000 0.5000
```

DFT formation energy	-30.0	kJ/mol of atoms
size of the total moment	1.806	μB/cell

Compound: CeHS
Source: Alexandria
Functional: PBE-GGA
Structure: relaxed

POSCAR file:
```
CeHS
1.0
-3.4749 1.9030 2.0666
-3.0975 -2.5485 1.9693
-0.2889 -0.1219 4.4574
Ce S H
1 1 1
Direct
0.2500 0.2500 0.2500
0.5000 0.5000 0.5000
0.0000 0.0000 0.0000
```

size of the total moment	1.002	μB/cell
final energy	-5.662	eV per atom

Question: Among the records above, which one has the highest size of the total moment?
Answer: CePuTiN3

Question: Which of these has the highest size of the total moment?
Answer: CePuTiN3

Question: What is the size of the total moment in the third record?
Answer: 0.000 μB/cell